A relaxed Ce3MgZr2N6 crystal, computed with GGA-PBE.

abc: 5.858 10.144 5.930
angles: 90.00 109.19 90.00
Space group C2/m (No. 12)
Symmetry-distinct sites (fractional):
1 Ce 0.000 0.000 0.000 [2 per cell]
2 Ce 0.000 0.335 0.000 [4 per cell]
3 Mg 0.000 0.500 0.500 [2 per cell]
4 Zr 0.000 0.167 0.500 [4 per cell]
5 N 0.237 0.000 0.727 [4 per cell]
6 N 0.246 0.331 0.729 [8 per cell]

Properties
For the uncorrected energy, the calculation gives -207.49 eV for the cell shown. Its total moment is 0.0 μB/f.u. The calculation puts the energy relative to the elements, uncorrected at -1442 meV/atom.


A relaxed Li2LaCeGe2 crystal, computed with GGA-PBE.

abc: 4.5378 4.5378 7.5544
angles: 90.00 90.00 120.00
Space group P-3m1 (No. 164)
Symmetry-distinct sites (fractional):
1 Li 0.3333 0.6667 0.2260 [2 per cell]
2 La 0.0000 0.0000 0.5000 [1 per cell]
3 Ce 0.0000 0.0000 0.0000 [1 per cell]
4 Ge 0.3333 0.6667 0.7668 [2 per cell]

Properties
For the uncorrected energy, the calculation gives -27.60 eV for the cell shown. Its total moment is 0.7 μB/f.u. For the formation energy, the calculation gives -0.6130 eV/atom.


A relaxed TeMoRh2 crystal, computed with GGA-PBE.

abc: 9.138 3.114 4.697
angles: 90.00 98.67 90.00
Space group C2/m (No. 12)
Symmetry-distinct sites (fractional):
1 Te 0.000 0.000 0.000 [2 per cell]
2 Mo 0.000 0.500 0.500 [2 per cell]
3 Rh 0.242 0.000 0.732 [4 per cell]

Properties
For the uncorrected energy, the calculation gives -56.48 eV for the cell shown. Its total moment is 0.0 μB/f.u. The calculation puts the energy relative to the elements, uncorrected at 109 meV/atom.


A relaxed ErNb2N4 crystal, computed with GGA-PBE.

abc: 3.125 10.247 10.372
angles: 90.00 90.00 90.00
Space group Cmcm (No. 63)
Symmetry-distinct sites (fractional):
1 Er 0.000 0.116 0.250 [4 per cell]
2 Nb 0.000 0.371 0.069 [8 per cell]
3 N 0.000 0.000 0.000 [4 per cell]
4 N 0.000 0.270 0.616 [8 per cell]
5 N 0.000 0.447 0.250 [4 per cell]

Properties
For the uncorrected energy, the calculation gives -265.41 eV for the cell shown. Its total moment is 0.0 μB/f.u. The calculation puts the energy relative to the elements, uncorrected at -1193 meV/atom.


A relaxed Sr2HgAsI crystal, computed with GGA-PBE.

abc: 6.200 6.200 5.633
angles: 90.00 90.00 90.00
Space group P4/mmm (No. 123)
Symmetry-distinct sites (fractional):
1 Sr 0.000 0.500 0.000 [2 per cell]
2 Hg 0.000 0.000 0.000 [1 per cell]
3 As 0.500 0.500 0.500 [1 per cell]
4 I 0.000 0.000 0.500 [1 per cell]

Properties
For the uncorrected energy, the calculation gives -9.70 eV for the cell shown. Its total moment is 0.6 μB/f.u. The calculation puts the energy relative to the elements, uncorrected at 32 meV/atom.


A relaxed RbSbSe2 crystal, computed with GGA-PBE.

abc: 4.2550 4.2550 24.3575
angles: 90.00 90.00 120.00
Space group R3m (No. 160, hexagonal axes)
Symmetry-distinct sites (fractional):
1 Rb 0.0000 0.0000 0.0000 [3 per cell]
2 Sb 0.0000 0.0000 0.1681 [3 per cell]
3 Se 0.0000 0.0000 0.5672 [3 per cell]
4 Se 0.0000 0.0000 0.7688 [3 per cell]

Properties
For the uncorrected energy, the calculation gives -44.12 eV for the cell shown. Its total moment is 0.0 μB/f.u. The calculation puts the energy relative to the elements, uncorrected at -662 meV/atom.


A relaxed SrH crystal, computed with GGA-PBE.

abc: 10.170 10.170 4.064
angles: 90.00 90.00 90.00
Space group I4/m (No. 87)
Symmetry-distinct sites (fractional):
1 Sr 0.083 0.273 0.000 [8 per cell]
2 H 0.159 0.708 0.000 [8 per cell]

Properties
For the uncorrected energy, the calculation gives -45.34 eV for the cell shown. Its total moment is 0.0 μB/f.u.


A relaxed Li4As6Pd7 crystal, computed with GGA-PBE.

abc: 8.239 8.239 8.239
angles: 90.00 90.00 90.00
Space group Im-3m (No. 229)
Symmetry-distinct sites (fractional):
1 Li 0.250 0.250 0.250 [8 per cell]
2 As 0.000 0.000 0.316 [12 per cell]
3 Pd 0.000 0.000 0.000 [2 per cell]
4 Pd 0.000 0.250 0.500 [12 per cell]

Properties
For the uncorrected energy, the calculation gives -162.66 eV for the cell shown. Its total moment is 0.0 μB/f.u. For the formation energy, the calculation gives -0.5545 eV/atom.